Ba13Ca3 (PBE, optimized geometry); space-group type = No. 38; ΔH_f (0 K) = 0.019 eV/atom; DFT total energy = -1.919 eV per atom
1.0
9.796 -0.005 0.000
-0.001 9.796 0.000
0.000 0.000 9.800
Ba Ca
13 3
Cartesian
9.745 4.834 7.401
4.953 4.839 7.400
4.956 0.048 7.401
2.355 2.367 0.000
7.426 7.436 0.000
2.353 7.441 0.000
9.745 4.834 2.398
4.953 4.839 2.400
4.956 0.048 2.398
7.439 2.353 4.900
2.354 2.349 4.900
7.445 7.438 4.900
2.345 7.449 4.900
9.728 0.063 7.443
7.472 2.319 0.000
9.728 0.063 2.357